No. 1
# Mg15Tl4In, optimized geometry, DFT PBE
data_Mg15Tl4In
_cell_length_a 4.574
_cell_length_b 4.574
_cell_length_c 22.032
_cell_angle_alpha 90.00
_cell_angle_beta 90.00
_cell_angle_gamma 90.00
_space_group_name_H-M_alt 'P 4/m m m'
_space_group_IT_number 123
_space_group_name_Hall '-P 4 2'
loop_
_atom_site_label
_atom_site_type_symbol
_atom_site_fract_x
_atom_site_fract_y
_atom_site_fract_z
_atom_site_occupancy
Mg1 Mg 0.000 0.000 0.000 1
Mg2 Mg 0.000 0.000 0.199 1
Mg3 Mg 0.000 0.000 0.400 1
Mg4 Mg 0.000 0.500 0.098 1
Mg5 Mg 0.000 0.500 0.300 1
Mg6 Mg 0.000 0.500 0.500 1
Tl1 Tl 0.500 0.500 0.200 1
Tl2 Tl 0.500 0.500 0.400 1
In1 In 0.500 0.500 0.000 1
# * ΔH_f (0 K): -0.040 eV per atom
# * crystal system: tetragonal

***

No. 2
# Tb5Pm2Th4, optimized geometry, DFT PBE
data_Tb5Pm2Th4
_cell_length_a 24.273
_cell_length_b 3.495
_cell_length_c 8.640
_cell_angle_alpha 90.00
_cell_angle_beta 94.54
_cell_angle_gamma 90.00
_space_group_name_H-M_alt 'C 1 2/m 1'
_space_group_IT_number 12
_space_group_name_Hall '-C 2y'
loop_
_atom_site_label
_atom_site_type_symbol
_atom_site_fract_x
_atom_site_fract_y
_atom_site_fract_z
_atom_site_occupancy
Tb1 Tb 0.000 0.000 0.000 1
Tb2 Tb 0.129 0.500 0.041 1
Tb3 Tb 0.184 0.500 0.473 1
Pm1 Pm 0.226 0.000 0.825 1
Th1 Th 0.044 0.500 0.350 1
Th2 Th 0.084 0.000 0.683 1
# * ΔH_f (0 K): 0.114 eV per atom
# * crystal system: monoclinic

***

No. 3
# KAsN2F, optimized geometry, DFT PBE
data_KAsN2F
_cell_length_a 5.282
_cell_length_b 5.282
_cell_length_c 4.622
_cell_angle_alpha 90.00
_cell_angle_beta 90.00
_cell_angle_gamma 90.00
_space_group_name_H-M_alt 'P 4/m m m'
_space_group_IT_number 123
_space_group_name_Hall '-P 4 2'
loop_
_atom_site_label
_atom_site_type_symbol
_atom_site_fract_x
_atom_site_fract_y
_atom_site_fract_z
_atom_site_occupancy
K1 K 0.000 0.000 0.000 1
As1 As 0.500 0.500 0.500 1
N1 N 0.000 0.500 0.000 1
F1 F 0.000 0.000 0.500 1
# * crystal system: tetragonal

***

No. 4
# Be2InOs2, optimized geometry, DFT PBE
data_Be2InOs2
_cell_length_a 6.381
_cell_length_b 6.381
_cell_length_c 3.099
_cell_angle_alpha 90.00
_cell_angle_beta 90.00
_cell_angle_gamma 90.00
_space_group_name_H-M_alt 'P 4/m b m'
_space_group_IT_number 127
_space_group_name_Hall '-P 4 2ab'
loop_
_atom_site_label
_atom_site_type_symbol
_atom_site_fract_x
_atom_site_fract_y
_atom_site_fract_z
_atom_site_occupancy
Be1 Be 0.119 0.381 0.000 1
In1 In 0.000 0.000 0.000 1
Os1 Os 0.164 0.664 0.500 1
# * ΔH_f (0 K): 0.057 eV per atom
# * crystal system: tetragonal

***

No. 5
# Sc6CuRh5, optimized geometry, DFT PBE
data_Sc6CuRh5
_cell_length_a 4.607
_cell_length_b 6.402
_cell_length_c 13.841
_cell_angle_alpha 90.00
_cell_angle_beta 90.00
_cell_angle_gamma 90.00
_space_group_name_H-M_alt 'I m m m'
_space_group_IT_number 71
_space_group_name_Hall '-I 2 2'
loop_
_atom_site_label
_atom_site_type_symbol
_atom_site_fract_x
_atom_site_fract_y
_atom_site_fract_z
_atom_site_occupancy
Sc1 Sc 0.000 0.249 0.000 1
Sc2 Sc 0.000 0.250 0.332 1
Cu1 Cu 0.000 0.000 0.500 1
Rh1 Rh 0.000 0.000 0.166 1
Rh2 Rh 0.000 0.500 0.167 1
Rh3 Rh 0.000 0.500 0.500 1
# * ΔH_f (0 K): -0.892 eV per atom
# * crystal system: orthorhombic

***

No. 6
# BaReCl2F6, optimized geometry, DFT PBE
data_BaReCl2F6
_cell_length_a 9.255
_cell_length_b 9.255
_cell_length_c 9.255
_cell_angle_alpha 90.00
_cell_angle_beta 90.00
_cell_angle_gamma 90.00
_space_group_name_H-M_alt 'F m -3 m'
_space_group_IT_number 225
_space_group_name_Hall '-F 4 2 3'
loop_
_atom_site_label
_atom_site_type_symbol
_atom_site_fract_x
_atom_site_fract_y
_atom_site_fract_z
_atom_site_occupancy
Ba1 Ba 0.000 0.000 0.000 1
Re1 Re 0.000 0.000 0.500 1
Cl1 Cl 0.250 0.250 0.250 1
F1 F 0.000 0.000 0.295 1
# * crystal system: cubic

***

No. 7
# CrMoP2, optimized geometry, DFT PBE
data_CrMoP2
_cell_length_a 5.959
_cell_length_b 5.959
_cell_length_c 5.959
_cell_angle_alpha 90.00
_cell_angle_beta 90.00
_cell_angle_gamma 90.00
_space_group_name_H-M_alt 'F -4 3 m'
_space_group_IT_number 216
_space_group_name_Hall 'F -4 2 3'
loop_
_atom_site_label
_atom_site_type_symbol
_atom_site_fract_x
_atom_site_fract_y
_atom_site_fract_z
_atom_site_occupancy
Cr1 Cr 0.000 0.000 0.000 1
Mo1 Mo 0.250 0.250 0.250 1
P1 P 0.000 0.000 0.500 1
P2 P 0.250 0.250 0.750 1
# * ΔH_f (0 K): 0.245 eV per atom
# * crystal system: cubic

***

No. 8
# BaCaAgPd, optimized geometry, DFT PBE
data_BaCaAgPd
_cell_length_a 8.737
_cell_length_b 5.039
_cell_length_c 6.263
_cell_angle_alpha 90.00
_cell_angle_beta 117.83
_cell_angle_gamma 90.00
_space_group_name_H-M_alt 'C 1 m 1'
_space_group_IT_number 8
_space_group_name_Hall 'C -2y'
loop_
_atom_site_label
_atom_site_type_symbol
_atom_site_fract_x
_atom_site_fract_y
_atom_site_fract_z
_atom_site_occupancy
Ba1 Ba 0.000 0.000 0.000 1
Ca1 Ca 0.009 0.500 0.525 1
Ag1 Ag 0.289 0.500 0.368 1
Pd1 Pd 0.204 0.000 0.610 1
# * ΔH_f (0 K): -0.407 eV per atom
# * crystal system: monoclinic

***

No. 9
# NdGaH, optimized geometry, DFT PBE
data_NdGaH
_cell_length_a 8.465
_cell_length_b 11.149
_cell_length_c 9.945
_cell_angle_alpha 90.00
_cell_angle_beta 90.00
_cell_angle_gamma 90.00
_space_group_name_H-M_alt 'A m a 2'
_space_group_IT_number 40
_space_group_name_Hall 'A 2 -2a'
loop_
_atom_site_label
_atom_site_type_symbol
_atom_site_fract_x
_atom_site_fract_y
_atom_site_fract_z
_atom_site_occupancy
Nd1 Nd 0.250 0.010 0.000 1
Nd2 Nd 0.250 0.182 0.698 1
Nd3 Nd 0.250 0.217 0.323 1
Nd4 Nd 0.250 0.399 0.997 1
Ga1 Ga 0.000 0.000 0.247 1
Ga2 Ga 0.000 0.000 0.750 1
Ga3 Ga 0.005 0.191 0.059 1
H1 H 0.250 0.096 0.493 1
H2 H 0.250 0.207 0.099 1
H3 H 0.250 0.211 0.915 1
H4 H 0.250 0.310 0.526 1
# * crystal system: orthorhombic

***

No. 10
# Cs12Ag3Cl5, optimized geometry, DFT PBE
data_Cs12Ag3Cl5
_cell_length_a 21.555
_cell_length_b 21.555
_cell_length_c 21.555
_cell_angle_alpha 90.00
_cell_angle_beta 90.00
_cell_angle_gamma 90.00
_space_group_name_H-M_alt 'I a -3 d'
_space_group_IT_number 230
_space_group_name_Hall '-I 4bd 2c 3'
loop_
_atom_site_label
_atom_site_type_symbol
_atom_site_fract_x
_atom_site_fract_y
_atom_site_fract_z
_atom_site_occupancy
Cs1 Cs 0.023 0.059 0.651 1
Ag1 Ag 0.000 0.250 0.125 1
Cl1 Cl 0.000 0.000 0.000 1
Cl2 Cl 0.000 0.250 0.375 1
# * crystal system: cubic

***

No. 11
# Ba2TcBiOs, optimized geometry, DFT PBE
data_Ba2TcBiOs
_cell_length_a 6.102
_cell_length_b 6.102
_cell_length_c 5.158
_cell_angle_alpha 90.00
_cell_angle_beta 90.00
_cell_angle_gamma 90.00
_space_group_name_H-M_alt 'P 4/m m m'
_space_group_IT_number 123
_space_group_name_Hall '-P 4 2'
loop_
_atom_site_label
_atom_site_type_symbol
_atom_site_fract_x
_atom_site_fract_y
_atom_site_fract_z
_atom_site_occupancy
Ba1 Ba 0.000 0.500 0.000 1
Tc1 Tc 0.000 0.000 0.500 1
Bi1 Bi 0.500 0.500 0.500 1
Os1 Os 0.500 0.500 0.000 1
# * ΔH_f (0 K): 1.047 eV per atom
# * crystal system: tetragonal

***

No. 12
# K2ScCo, optimized geometry, DFT PBE
data_K2ScCo
_cell_length_a 3.720
_cell_length_b 5.177
_cell_length_c 12.157
_cell_angle_alpha 90.00
_cell_angle_beta 90.00
_cell_angle_gamma 90.00
_space_group_name_H-M_alt 'C m m m'
_space_group_IT_number 65
_space_group_name_Hall '-C 2 2'
loop_
_atom_site_label
_atom_site_type_symbol
_atom_site_fract_x
_atom_site_fract_y
_atom_site_fract_z
_atom_site_occupancy
K1 K 0.000 0.000 0.215 1
Sc1 Sc 0.000 0.500 0.500 1
Co1 Co 0.000 0.500 0.000 1
# * ΔH_f (0 K): 1.037 eV per atom
# * crystal system: orthorhombic

***

No. 13
# Tb4Nd3S8, optimized geometry, DFT PBE
data_Tb4Nd3S8
_cell_length_a 11.279
_cell_length_b 11.284
_cell_length_c 7.957
_cell_angle_alpha 90.00
_cell_angle_beta 134.82
_cell_angle_gamma 90.00
_space_group_name_H-M_alt 'C 1 2/m 1'
_space_group_IT_number 12
_space_group_name_Hall '-C 2y'
loop_
_atom_site_label
_atom_site_type_symbol
_atom_site_fract_x
_atom_site_fract_y
_atom_site_fract_z
_atom_site_occupancy
Tb1 Tb 0.000 0.000 0.000 1
Tb2 Tb 0.000 0.000 0.500 1
Tb3 Tb 0.250 0.250 0.000 1
Nd1 Nd 0.000 0.500 0.500 1
Nd2 Nd 0.250 0.250 0.500 1
S1 S 0.000 0.246 0.500 1
S2 S 0.000 0.247 0.000 1
S3 S 0.242 0.000 0.493 1
S4 S 0.244 0.000 0.992 1
# * crystal system: monoclinic

***

No. 14
# CeGeH2Ru, optimized geometry, DFT PBE
data_CeGeH2Ru
_cell_length_a 4.041
_cell_length_b 10.588
_cell_length_c 5.922
_cell_angle_alpha 90.00
_cell_angle_beta 90.00
_cell_angle_gamma 90.00
_space_group_name_H-M_alt 'C m c m'
_space_group_IT_number 63
_space_group_name_Hall '-C 2c 2'
loop_
_atom_site_label
_atom_site_type_symbol
_atom_site_fract_x
_atom_site_fract_y
_atom_site_fract_z
_atom_site_occupancy
Ce1 Ce 0.000 0.204 0.250 1
Ge1 Ge 0.000 0.080 0.750 1
H1 H 0.000 0.340 0.563 1
Ru1 Ru 0.000 0.500 0.000 1
# * crystal system: orthorhombic

***

No. 15
# Tc4AgAs, optimized geometry, DFT PBE
data_Tc4AgAs
_cell_length_a 7.345
_cell_length_b 7.345
_cell_length_c 7.345
_cell_angle_alpha 90.00
_cell_angle_beta 90.00
_cell_angle_gamma 90.00
_space_group_name_H-M_alt 'F -4 3 m'
_space_group_IT_number 216
_space_group_name_Hall 'F -4 2 3'
loop_
_atom_site_label
_atom_site_type_symbol
_atom_site_fract_x
_atom_site_fract_y
_atom_site_fract_z
_atom_site_occupancy
Tc1 Tc 0.125 0.125 0.125 1
Ag1 Ag 0.250 0.250 0.750 1
As1 As 0.000 0.000 0.500 1
# * ΔH_f (0 K): 0.650 eV per atom
# * crystal system: cubic

***

No. 16
# Li2CoCu, optimized geometry, DFT PBE
data_Li2CoCu
_cell_length_a 2.453
_cell_length_b 2.453
_cell_length_c 8.183
_cell_angle_alpha 90.00
_cell_angle_beta 90.00
_cell_angle_gamma 90.00
_space_group_name_H-M_alt 'P 4/m m m'
_space_group_IT_number 123
_space_group_name_Hall '-P 4 2'
loop_
_atom_site_label
_atom_site_type_symbol
_atom_site_fract_x
_atom_site_fract_y
_atom_site_fract_z
_atom_site_occupancy
Li1 Li 0.000 0.000 0.247 1
Co1 Co 0.500 0.500 0.000 1
Cu1 Cu 0.500 0.500 0.500 1
# * ΔH_f (0 K): 0.113 eV per atom
# * crystal system: tetragonal

***

No. 17
# CaPm4PrY2, optimized geometry, DFT PBE
data_CaPm4PrY2
_cell_length_a 6.002
_cell_length_b 6.017
_cell_length_c 7.735
_cell_angle_alpha 90.00
_cell_angle_beta 90.00
_cell_angle_gamma 90.00
_space_group_name_H-M_alt 'P m m m'
_space_group_IT_number 47
_space_group_name_Hall '-P 2 2'
loop_
_atom_site_label
_atom_site_type_symbol
_atom_site_fract_x
_atom_site_fract_y
_atom_site_fract_z
_atom_site_occupancy
Ca1 Ca 0.000 0.000 0.000 1
Pm1 Pm 0.000 0.500 0.254 1
Pm2 Pm 0.500 0.000 0.254 1
Pr1 Pr 0.500 0.500 0.500 1
Y1 Y 0.000 0.000 0.500 1
Y2 Y 0.500 0.500 0.000 1
# * ΔH_f (0 K): 0.131 eV per atom
# * crystal system: orthorhombic

***

No. 18
# MnReSb2, optimized geometry, DFT PBE
data_MnReSb2
_cell_length_a 4.077
_cell_length_b 4.077
_cell_length_c 8.989
_cell_angle_alpha 90.00
_cell_angle_beta 90.00
_cell_angle_gamma 90.00
_space_group_name_H-M_alt 'I -4 m 2'
_space_group_IT_number 119
_space_group_name_Hall 'I -4 -2'
loop_
_atom_site_label
_atom_site_type_symbol
_atom_site_fract_x
_atom_site_fract_y
_atom_site_fract_z
_atom_site_occupancy
Mn1 Mn 0.000 0.000 0.000 1
Re1 Re 0.000 0.500 0.750 1
Sb1 Sb 0.000 0.000 0.500 1
Sb2 Sb 0.000 0.500 0.250 1
# * crystal system: tetragonal

***

No. 19
# Cu10PdAu6, optimized geometry, DFT PBE
data_Cu10PdAu6
_cell_length_a 7.4949
_cell_length_b 7.4949
_cell_length_c 5.2494
_cell_angle_alpha 90.00
_cell_angle_beta 90.00
_cell_angle_gamma 120.00
_space_group_name_H-M_alt 'P -3 1 m'
_space_group_IT_number 162
_space_group_name_Hall '-P 3 2'
loop_
_atom_site_label
_atom_site_type_symbol
_atom_site_fract_x
_atom_site_fract_y
_atom_site_fract_z
_atom_site_occupancy
Cu1 Cu 0.0000 0.3113 0.3320 1
Cu2 Cu 0.3333 0.6667 0.0000 1
Cu3 Cu 0.3333 0.6667 0.5000 1
Pd1 Pd 0.0000 0.0000 0.0000 1
Au1 Au 0.0000 0.3499 0.8166 1
# * ΔH_f (0 K): 0.038 eV per atom
# * crystal system: trigonal

***

Quick rundown of DFT total energy, same order as above: -36.93, -122.15, -16.12, -64.73, -179.09, -201.60, -121.18, -27.19, -193.74, -365.52, -24.09, -22.97, -193.09, -117.77, -180.25, -14.58, -37.66, -54.42, -65.18 eV/cell
Quick rundown of calculated density, same order as above: 4.67, 9.15, 2.07, 13.51, 6.90, 4.26, 6.59, 5.33, 6.09, 2.78, 6.67, 2.58, 6.13, 8.28, 9.64, 4.60, 5.58, 10.78, 12.51 Mg/m³